# ZrAl2Rh

ZrAl2Rh after structural relaxation (GGA-PBE, Alexandria via LeMat-Bulk).

Computed properties:
The calculation puts the total magnetic moment at 0.00 μB per cell. The calculation puts the density of states at the Fermi level at 3.8 states/eV/cell. For the formation energy from the elements, the calculation gives -0.413 eV per atom. For the electronic total energy, the calculation gives -25.0 eV/f.u.

Cell: 8.949 8.949 8.949 Å, 19.42 19.42 19.42°
Sites, in units of the cell vectors:
Zr1 0.000 0.000 0.000
Al1 0.238 0.238 0.238
Al2 0.762 0.762 0.762
Rh1 0.500 0.500 0.500

***

# ZrAl4Rh

ZrAl4Rh after structural relaxation (GGA-PBE, Alexandria via LeMat-Bulk).

Computed properties:
The calculation puts the total magnetic moment at 0.00 μB per cell. The calculation puts the density of states at the Fermi level at 4.5 states/eV/cell. For the formation energy from the elements, the calculation gives -0.240 eV per atom. For the electronic total energy, the calculation gives -32.3 eV/f.u.

Cell: 3.994 3.994 7.396 Å, 90.00 90.00 90.00°
Sites, in units of the cell vectors:
Zr1 0.000 0.000 0.000
Al1 0.000 0.500 0.290
Al2 0.000 0.500 0.710
Al3 0.500 0.000 0.290
Al4 0.500 0.000 0.710
Rh1 0.500 0.500 0.500

***

# ZrAl2Rh

ZrAl2Rh after structural relaxation (GGA-PBE, Alexandria via LeMat-Bulk).

Computed properties:
The calculation puts the total magnetic moment at 0.00 μB per cell. The calculation puts the density of states at the Fermi level at 1.9 states/eV/cell. For the formation energy from the elements, the calculation gives -0.606 eV per atom. For the electronic total energy, the calculation gives -25.8 eV/f.u.

Cell: 4.872 4.872 4.872 Å, 129.87 129.87 73.61°
Sites, in units of the cell vectors:
Zr1 0.000 0.000 0.000
Al1 0.500 0.500 0.000
Al2 0.750 0.250 0.500
Rh1 0.250 0.750 0.500

***

# Zr2AlRh

Zr2AlRh after structural relaxation (GGA-PBE, Alexandria via LeMat-Bulk).

Computed properties:
The calculation puts the total magnetic moment at 0.00 μB per cell. The calculation puts the density of states at the Fermi level at 5.6 states/eV/cell. For the formation energy from the elements, the calculation gives -0.557 eV per atom. For the electronic total energy, the calculation gives -30.4 eV/f.u.

Cell: 5.576 5.576 8.409 Å, 123.33 123.33 47.05°
Sites, in units of the cell vectors:
Zr1 0.000 0.000 0.000
Zr2 0.205 0.205 0.829
Zr3 0.500 0.500 0.500
Zr4 0.795 0.795 0.171
Al1 0.159 0.159 0.433
Al2 0.841 0.841 0.567
Rh1 0.451 0.451 0.782
Rh2 0.549 0.549 0.218

***

# Zr2AlRh

Zr2AlRh after structural relaxation (GGA-PBE, Alexandria via LeMat-Bulk).

Computed properties:
The calculation puts the total magnetic moment at 0.00 μB per cell. The calculation puts the density of states at the Fermi level at 3.5 states/eV/cell. For the formation energy from the elements, the calculation gives -0.549 eV per atom. For the electronic total energy, the calculation gives -30.4 eV/f.u.

Cell: 3.135 3.912 6.022 Å, 90.00 90.09 90.00°
Sites, in units of the cell vectors:
Zr1 0.002 0.000 0.255
Zr2 0.998 0.000 0.745
Al1 0.500 0.500 0.000
Rh1 0.500 0.500 0.500

***

# ZrAlRh2

ZrAlRh2 after structural relaxation (GGA-PBE, Alexandria via LeMat-Bulk).

Computed properties:
The calculation puts the total magnetic moment at 0.00 μB per cell. The calculation puts the density of states at the Fermi level at 5.5 states/eV/cell. For the formation energy from the elements, the calculation gives -0.406 eV per atom. For the electronic total energy, the calculation gives -28.6 eV/f.u.

Cell: 4.524 4.524 4.524 Å, 60.00 60.00 60.00°
Sites, in units of the cell vectors:
Zr1 0.000 0.000 0.000
Al1 0.750 0.750 0.750
Rh1 0.250 0.250 0.250
Rh2 0.500 0.500 0.500

***

# Zr2AlRh

Zr2AlRh after structural relaxation (GGA-PBE, Alexandria via LeMat-Bulk).

Computed properties:
The calculation puts the total magnetic moment at 0.00 μB per cell. The calculation puts the density of states at the Fermi level at 4.7 states/eV/cell. For the formation energy from the elements, the calculation gives -0.518 eV per atom. For the electronic total energy, the calculation gives -30.3 eV/f.u.

Cell: 5.123 5.123 5.123 Å, 134.70 127.11 72.13°
Sites, in units of the cell vectors:
Zr1 0.232 0.232 0.000
Zr2 0.768 0.768 0.000
Al1 0.500 0.000 0.500
Rh1 0.000 0.500 0.500

***

# ZrAl2Rh2

ZrAl2Rh2 after structural relaxation (GGA-PBE, Alexandria via LeMat-Bulk).

Computed properties:
The calculation puts the total magnetic moment at 0.00 μB per cell. The calculation puts the density of states at the Fermi level at 3.1 states/eV/cell. For the distance to the lowest polymorph of the same formula, the calculation gives 0.60 eV per formula unit. For the formation energy from the elements, the calculation gives -0.702 eV per atom. For the electronic total energy, the calculation gives -34.2 eV/f.u.

Cell: 6.635 6.635 6.635 Å, 147.51 147.51 46.61°
Sites, in units of the cell vectors:
Zr1 0.000 0.000 0.000
Al1 0.250 0.750 0.500
Al2 0.750 0.250 0.500
Rh1 0.391 0.391 0.000
Rh2 0.609 0.609 0.000

***

Which of these has the highest electronic total energy? number 1